Run w
Pr2InAu3: optimized geometry, PBE-GGA.

Cell: 9.698 9.160 6.033 Å, 76.26 66.56 37.18°
Fractional positions:
1 Pr 0.241 0.759 0.759
2 Pr 0.250 0.250 0.250
3 Pr 0.750 0.750 0.750
4 Pr 0.759 0.241 0.241
5 In 0.334 0.334 0.666
6 In 0.666 0.666 0.334
7 Au 0.168 0.168 0.832
8 Au 0.169 0.664 0.336
9 Au 0.336 0.831 0.169
10 Au 0.664 0.169 0.831
11 Au 0.831 0.336 0.664
12 Au 0.832 0.832 0.168

Properties
SG: Fmmm (69)
DOS(E_F): 3.46 states/eV/f.u.


Run x
Pr2InAu3: optimized geometry, PBE-GGA.

Cell: 4.133 4.164 18.279 Å, 90.00 90.00 90.00°
Fractional positions:
1 Pr 0.000 0.000 0.000
2 Pr 0.000 0.500 0.273
3 Pr 0.500 0.000 0.773
4 Pr 0.500 0.500 0.500
5 In 0.000 0.000 0.599
6 In 0.500 0.500 0.099
7 Au 0.000 0.000 0.443
8 Au 0.000 0.500 0.694
9 Au 0.000 0.500 0.844
10 Au 0.500 0.000 0.194
11 Au 0.500 0.000 0.344
12 Au 0.500 0.500 0.943

Properties
SG: Imm2 (44)
DOS(E_F): 3.60 states/eV/f.u.


Computed stability ranking, most favorable first: run w, run x


Run w
Pr6In2Au: optimized geometry, PBE-GGA.

Cell: 10.384 10.384 5.242 Å, 90.00 90.00 90.00°
Fractional positions:
1 Pr 0.021 0.316 0.000
2 Pr 0.121 0.879 0.500
3 Pr 0.184 0.521 0.500
4 Pr 0.316 0.021 0.000
5 Pr 0.379 0.379 0.000
6 Pr 0.479 0.816 0.500
7 Pr 0.521 0.184 0.500
8 Pr 0.621 0.621 0.000
9 Pr 0.684 0.979 0.000
10 Pr 0.816 0.479 0.500
11 Pr 0.879 0.121 0.500
12 Pr 0.979 0.684 0.000
13 In 0.203 0.203 0.500
14 In 0.297 0.703 0.000
15 In 0.703 0.297 0.000
16 In 0.797 0.797 0.500
17 Au 0.000 0.000 0.000
18 Au 0.500 0.500 0.500

Properties
SG: P4_2/mnm (136)
DOS(E_F): 11.25 states/eV/f.u.


Run x
Pr6In2Au: optimized geometry, PBE-GGA.

Cell: 9.143 9.143 3.895 Å, 90.00 90.00 120.00°
Fractional positions:
1 Pr 0.000 0.261 0.000
2 Pr 0.000 0.603 0.500
3 Pr 0.261 0.000 0.000
4 Pr 0.397 0.397 0.500
5 Pr 0.603 0.000 0.500
6 Pr 0.739 0.739 0.000
7 In 0.333 0.667 0.000
8 In 0.667 0.333 0.000
9 Au 0.000 0.000 0.500

Properties
SG: P-62m (189)
DOS(E_F): 13.63 states/eV/f.u.


Computed stability ranking, most favorable first: run x, run w


Run w
PrIn4Au2: optimized geometry, PBE-GGA.

Cell: 18.779 4.697 7.567 Å, 90.00 90.00 90.00°
Fractional positions:
1 Pr 0.143 0.250 0.026
2 Pr 0.357 0.750 0.526
3 Pr 0.643 0.250 0.474
4 Pr 0.857 0.750 0.974
5 In 0.035 0.750 0.861
6 In 0.067 0.250 0.484
7 In 0.185 0.750 0.325
8 In 0.188 0.750 0.735
9 In 0.312 0.250 0.235
10 In 0.315 0.250 0.825
11 In 0.433 0.750 0.984
12 In 0.465 0.250 0.361
13 In 0.535 0.750 0.639
14 In 0.567 0.250 0.016
15 In 0.685 0.750 0.175
16 In 0.688 0.750 0.765
17 In 0.812 0.250 0.265
18 In 0.815 0.250 0.675
19 In 0.933 0.750 0.516
20 In 0.965 0.250 0.139
21 Au 0.038 0.750 0.245
22 Au 0.218 0.250 0.533
23 Au 0.282 0.750 0.033
24 Au 0.462 0.250 0.745
25 Au 0.538 0.750 0.255
26 Au 0.718 0.250 0.967
27 Au 0.782 0.750 0.467
28 Au 0.962 0.250 0.755

Properties
SG: Pnma (62)
DOS(E_F): 2.80 states/eV/f.u.


Run x
PrIn4Au2: optimized geometry, PBE-GGA.

Cell: 4.560 17.259 4.422 Å, 90.00 90.00 90.00°
Fractional positions:
1 Pr 0.000 0.000 0.000
2 Pr 0.500 0.500 0.000
3 In 0.000 0.175 0.500
4 In 0.000 0.316 0.000
5 In 0.000 0.684 0.000
6 In 0.000 0.825 0.500
7 In 0.500 0.184 0.000
8 In 0.500 0.325 0.500
9 In 0.500 0.675 0.500
10 In 0.500 0.816 0.000
11 Au 0.000 0.422 0.500
12 Au 0.000 0.578 0.500
13 Au 0.500 0.078 0.500
14 Au 0.500 0.922 0.500

Properties
SG: Cmmm (65)
DOS(E_F): 2.15 states/eV/f.u.


Computed stability ranking, most favorable first: run w, run x